[1]
# Ta2AsPb | the Alexandria database | PBE | optimized geometry
# Calculated total energy = -7.795 eV/atom
# Energy relative to the elements = 0.22 eV/atom
data_Ta2AsPb
_space_group_name_H-M_alt 'P 1 m 1'
_space_group_IT_number 6
_space_group_name_Hall 'P -2y'
_cell_length_a 3.1749
_cell_length_b 4.8729
_cell_length_c 5.4847
_cell_angle_alpha 90.00
_cell_angle_beta 106.77
_cell_angle_gamma 90.00
loop_
_atom_site_label
_atom_site_type_symbol
_atom_site_fract_x
_atom_site_fract_y
_atom_site_fract_z
Ta1 Ta 0.0000 0.0000 0.0000
Ta2 Ta 0.3839 0.5000 0.7728
As1 As 0.0860 0.5000 0.1783
Pb1 Pb 0.7349 0.0000 0.4748

---

[2]
# CdBiS2Cl | the Alexandria database | PBE | optimized geometry
# Calculated total energy = -2.890 eV/atom
# Uncorrected formation energy = 0.09 eV/atom
data_CdBiS2Cl
_space_group_name_H-M_alt 'P 4/m m m'
_space_group_IT_number 123
_space_group_name_Hall '-P 4 2'
_cell_length_a 5.0585
_cell_length_b 5.0585
_cell_length_c 4.9358
_cell_angle_alpha 90.00
_cell_angle_beta 90.00
_cell_angle_gamma 90.00
loop_
_atom_site_label
_atom_site_type_symbol
_atom_site_fract_x
_atom_site_fract_y
_atom_site_fract_z
Cd1 Cd 0.0000 0.0000 0.0000
Bi1 Bi 0.5000 0.5000 0.5000
S1 S 0.0000 0.5000 0.0000
Cl1 Cl 0.0000 0.0000 0.5000

---

[3]
# Nd2Cd2SiPt4 | the Alexandria database | PBE | optimized geometry
# Calculated total energy = -5.239 eV/atom
# Uncorrected formation energy = -0.69 eV/atom
data_Nd2Cd2SiPt4
_space_group_name_H-M_alt 'I 4/m m m'
_space_group_IT_number 139
_space_group_name_Hall '-I 4 2'
_cell_length_a 6.7728
_cell_length_b 6.7728
_cell_length_c 8.2009
_cell_angle_alpha 90.00
_cell_angle_beta 90.00
_cell_angle_gamma 90.00
loop_
_atom_site_label
_atom_site_type_symbol
_atom_site_fract_x
_atom_site_fract_y
_atom_site_fract_z
Nd1 Nd 0.0000 0.5000 0.2500
Cd1 Cd 0.0000 0.0000 0.1788
Si1 Si 0.0000 0.0000 0.5000
Pt1 Pt 0.2457 0.2457 0.5000

---

[4]
# CePmTlCd | the Alexandria database | PBE | optimized geometry
# Calculated total energy = -3.752 eV/atom
# Energy relative to the elements = -0.26 eV/atom
data_CePmTlCd
_space_group_name_H-M_alt 'F -4 3 m'
_space_group_IT_number 216
_space_group_name_Hall 'F -4 2 3'
_cell_length_a 7.7368
_cell_length_b 7.7368
_cell_length_c 7.7368
_cell_angle_alpha 90.00
_cell_angle_beta 90.00
_cell_angle_gamma 90.00
loop_
_atom_site_label
_atom_site_type_symbol
_atom_site_fract_x
_atom_site_fract_y
_atom_site_fract_z
Ce1 Ce 0.0000 0.0000 0.0000
Pm1 Pm 0.0000 0.0000 0.5000
Tl1 Tl 0.2500 0.2500 0.2500
Cd1 Cd 0.2500 0.2500 0.7500